Below is an optimized crystal structure of ZnHg2Pt, with properties calculated at the PBE level.

The spin magnetization is 0.00 μB per formula unit. As for the total energy: -7.794 eV/f.u.

The structure belongs to space group I4/mmm (No. 139); the cell edges are 4.110, 4.110 and 8.669 Å and the angles 90.00°, 90.00° and 90.00°. The distinct sites, in fractional coordinates, are Zn at (0.000, 0.000, 0.000), Hg at (0.000, 0.500, 0.250) and Pt at (0.000, 0.000, 0.500).


Below is an optimized crystal structure of ZnHg2Pt, with properties calculated at the PBE level.

The spin magnetization is 0.00 μB per formula unit. As for the total energy: -7.379 eV/f.u.

The structure belongs to space group I-42d (No. 122); the cell edges are 4.050, 4.050 and 19.794 Å and the angles 90.00°, 90.00° and 90.00°. The distinct sites, in fractional coordinates, are Zn at (0.000, 0.000, 0.000), Hg at (0.247, 0.250, 0.625) and Pt at (0.000, 0.000, 0.500).


Below is an optimized crystal structure of ZnHg2Pt, with properties calculated at the PBE level.

The spin magnetization is 0.00 μB per formula unit. As for the total energy: -7.558 eV/f.u.

The structure belongs to space group Cmmm (No. 65); the cell edges are 5.821, 8.068 and 3.160 Å and the angles 90.00°, 90.00° and 90.00°. The distinct sites, in fractional coordinates, are Zn at (0.000, 0.000, 0.000), Hg at (0.250, 0.250, 0.500) and Pt at (0.000, 0.500, 0.000).


Below is an optimized crystal structure of ZnHgPt2, with properties calculated at the PBE level.

The spin magnetization is 0.00 μB per formula unit. As for the total energy: -14.157 eV/f.u.

The structure belongs to space group Pmm2 (No. 25); the cell edges are 2.878, 3.941 and 5.949 Å and the angles 90.00°, 90.00° and 90.00°. The distinct sites, in fractional coordinates, are Zn at (0.000, 0.000, 0.000), Hg at (0.500, 0.500, 0.304), Pt at (0.000, 0.000, 0.552) and Pt at (0.500, 0.500, 0.823).


Below is an optimized crystal structure of Zn2HgPt2, with properties calculated at the PBE level.

The spin magnetization is 0.00 μB per formula unit. The distance to the lowest polymorph of the same formula is 37 meV per atom. As for the total energy: -16.496 eV/f.u.

The structure belongs to space group P4/mbm (No. 127); the cell edges are 7.556, 7.556 and 2.875 Å and the angles 90.00°, 90.00° and 90.00°. The distinct sites, in fractional coordinates, are Zn at (0.133, 0.367, 0.000), Hg at (0.000, 0.000, 0.000) and Pt at (0.161, 0.661, 0.500).


Below is an optimized crystal structure of ZnHgPt2, with properties calculated at the PBE level.

The spin magnetization is 0.00 μB per formula unit. As for the total energy: -13.975 eV/f.u.

The structure belongs to space group P4mm (No. 99); the cell edges are 2.899, 2.899 and 8.045 Å and the angles 90.00°, 90.00° and 90.00°. The distinct sites, in fractional coordinates, are Zn at (0.000, 0.000, 0.000), Hg at (0.500, 0.500, 0.282), Pt at (0.000, 0.000, 0.548) and Pt at (0.500, 0.500, 0.795).


Below is an optimized crystal structure of Zn4HgPt5, with properties calculated at the PBE level.

The spin magnetization is 0.00 μB per formula unit. As for the total energy: -40.056 eV/f.u.

The structure belongs to space group P4/mmm (No. 123); the cell edges are 2.920, 2.920 and 17.981 Å and the angles 90.00°, 90.00° and 90.00°. The distinct sites, in fractional coordinates, are Zn at (0.000, 0.000, 0.096), Zn at (0.000, 0.000, 0.288), Hg at (0.000, 0.000, 0.500), Pt at (0.500, 0.500, 0.000), Pt at (0.500, 0.500, 0.192) and Pt at (0.500, 0.500, 0.381).


Below is an optimized crystal structure of ZnHg2Pt, with properties calculated at the PBE level.

The spin magnetization is 0.00 μB per formula unit. As for the total energy: -7.647 eV/f.u.

The structure belongs to space group Pmmm (No. 47); the cell edges are 3.499, 3.820 and 5.644 Å and the angles 90.00°, 90.00° and 90.00°. The distinct sites, in fractional coordinates, are Zn at (0.000, 0.000, 0.000), Hg at (0.500, 0.500, 0.250) and Pt at (0.000, 0.000, 0.500).